Below is a relaxed structure of PaCrGaO6, with properties calculated at the GGA+U level.

Summary:
total moment	1.99	μB per formula unit
raw total energy	-139.59	eV per cell
crystal system	trigonal

The structure in POSCAR format:
```
PaCrGaO6
1.0
-1.892 1.645 4.668
-2.820 -3.369 -2.963
3.858 -6.675 3.916
O Ga Cr Pa
12 2 2 2
Direct
0.968 0.315 0.126 O
0.653 0.968 0.874 O
0.347 0.032 0.126 O
0.347 0.315 0.374 O
0.685 0.653 0.126 O
0.653 0.685 0.626 O
0.032 0.685 0.874 O
0.968 0.653 0.374 O
0.685 0.032 0.374 O
0.315 0.968 0.626 O
0.032 0.347 0.626 O
0.315 0.347 0.874 O
0.000 0.000 0.000 Ga
0.000 0.000 0.500 Ga
0.667 0.333 0.250 Cr
0.333 0.667 0.750 Cr
0.333 0.667 0.250 Pa
0.667 0.333 0.750 Pa
```